# Ce8PuAg2 PBE-GGA optimized geometry
# E   -67.0 eV per cell
# Space-group type   No. 8
# Total magnetic moment   2.0 μB per cell
data_Ce8PuAg2
_symmetry_space_group_name_H-M 'P 1'
_symmetry_Int_Tables_number 1
_cell_length_a 7.273
_cell_length_b 7.273
_cell_length_c 6.104
_cell_angle_alpha 103.11
_cell_angle_beta 103.11
_cell_angle_gamma 105.42
loop_
_symmetry_equiv_pos_as_xyz
'x,y,z'
loop_
_atom_site_label
_atom_site_type_symbol
_atom_site_fract_x
_atom_site_fract_y
_atom_site_fract_z
_atom_site_occupancy
Ce1 Ce 0.000 0.000 0.000 1
Ce2 Ce 0.073 0.502 0.031 1
Ce3 Ce 0.126 0.374 0.566 1
Ce4 Ce 0.374 0.126 0.566 1
Ce5 Ce 0.442 0.685 0.586 1
Ce6 Ce 0.502 0.073 0.031 1
Ce7 Ce 0.580 0.580 0.078 1
Ce8 Ce 0.685 0.442 0.586 1
Pu1 Pu 0.304 0.304 0.130 1
Ag1 Ag 0.012 0.764 0.491 1
Ag2 Ag 0.764 0.012 0.491 1